(1)
## Tb6PmNd12 (PBE)

Data for an optimized crystal structure of Tb6PmNd12.

Geometry as extended XYZ:
```
19
Lattice="8.795 -0.197 -1.245 -1.405 8.684 -1.245 -0.171 -0.197 8.881" Properties=species:S:1:pos:R:3 pbc="T T T"
Tb 7.318 2.581 6.480
Tb 6.620 7.603 0.754
Tb 1.549 7.603 6.480
Tb 0.599 0.688 5.638
Tb 5.669 0.688 -0.088
Tb -0.099 5.710 -0.088
Nd 5.933 4.145 0.572
Nd 1.286 4.145 5.820
Nd 4.284 7.705 3.794
Nd 0.966 6.447 3.196
Nd 0.176 2.987 2.598
Nd 2.934 0.585 2.598
Nd 4.618 5.304 6.532
Nd 2.601 2.987 -0.140
Nd 3.289 6.447 0.572
Nd 7.042 5.304 3.794
Nd 6.253 1.844 3.196
Nd 3.929 1.844 5.820
Pm 0.000 0.000 0.000
```

ΔE to the lowest computed polymorph ... 60 meV per atom
Raw total energy ... -4.532 eV/atom
Total moment ... 0.0 μB/f.u.

(2)
## Tb2Pm3Nd (PBE)

Data for an optimized crystal structure of Tb2Pm3Nd.

Geometry as extended XYZ:
```
12
Lattice="-5.360 9.256 3.397 -7.032 0.713 5.500 -1.220 3.037 8.337" Properties=species:S:1:pos:R:3 pbc="T T T"
Pm -11.624 9.246 12.079
Pm -5.353 7.084 9.326
Pm -1.988 3.761 5.154
Pm -8.718 10.408 13.498
Pm -8.259 5.922 7.908
Pm -4.894 2.598 3.736
Tb -4.534 5.834 4.509
Tb -6.051 3.204 9.774
Tb -9.078 7.172 12.724
Tb -7.561 9.803 7.459
Nd -4.126 1.875 6.918
Nd 0.000 0.000 0.000
```

ΔE to the lowest computed polymorph ... 551 meV per atom
Raw total energy ... -4.148 eV/atom
Total moment ... 0.0 μB/f.u.

(3)
## Tb8PmNd5 (PBE)

Data for an optimized crystal structure of Tb8PmNd5.

Geometry as extended XYZ:
```
14
Lattice="3.502 0.000 -0.685 0.443 16.795 2.263 -0.175 3.037 8.401" Properties=species:S:1:pos:R:3 pbc="T T T"
Pm 1.797 11.435 9.189
Tb 0.710 10.303 3.632
Tb 3.059 9.529 6.347
Tb 0.370 5.141 1.891
Tb 2.350 13.539 2.721
Tb 2.711 4.177 4.567
Tb 1.419 6.293 7.258
Tb 1.058 15.656 5.412
Tb 3.400 14.692 8.087
Nd 2.581 7.281 3.901
Nd 2.235 1.882 2.129
Nd 1.189 12.551 6.078
Nd 1.535 17.951 7.849
Nd 0.443 16.795 2.263
```

Raw total energy ... -4.646 eV/atom
Total moment ... 0.0 μB/f.u.

(4)
## TbPm4Nd7 (PBE)

Data for an optimized crystal structure of TbPm4Nd7.

Geometry as extended XYZ:
```
12
Lattice="-3.478 2.147 -4.511 1.936 -5.303 -8.123 -5.698 -6.117 -2.625" Properties=species:S:1:pos:R:3 pbc="T T T"
Nd -3.407 -0.659 -5.900
Nd -4.147 -6.272 -12.108
Nd -3.832 -8.615 -9.359
Nd -6.479 -4.787 -9.604
Nd -3.092 -3.001 -3.151
Nd -0.760 -4.486 -5.655
Nd -1.739 1.073 -2.256
Tb 0.000 0.000 0.000
Pm -1.405 -2.059 -8.110
Pm -4.559 -3.739 -6.478
Pm -5.834 -7.215 -7.149
Pm -2.680 -5.535 -8.781
```

ΔE to the lowest computed polymorph ... 197 meV per atom
Raw total energy ... -4.543 eV/atom
Total moment ... 0.5 μB/f.u.